1.
Below is crystalline AgBi2Au2 at its relaxed geometry, with properties calculated at the PBE level.

The energy above the most stable polymorph in this dataset comes out at 0.000 eV/atom. The magnetic moment is 0.00 μB per cell. The space group is P4/mbm.

abc: 7.477 7.477 4.263
angles: 90.00 90.00 90.00
Atoms (fractional coordinates):
Ag: 0.000 0.000 0.000
Ag: 0.500 0.500 0.000
Bi: 0.169 0.331 0.500
Bi: 0.331 0.831 0.500
Bi: 0.669 0.169 0.500
Bi: 0.831 0.669 0.500
Au: 0.137 0.637 0.000
Au: 0.363 0.137 0.000
Au: 0.637 0.863 0.000
Au: 0.863 0.363 0.000

***

2.
Below is crystalline AgBi8Au2 at its relaxed geometry, with properties calculated at the PBE level.

The value obtained for the energy is -0.263 Ry per atom. The magnetic moment is 0.00 μB per cell. The space group is C2/m.

abc: 7.558 7.558 6.643
angles: 105.22 105.22 77.80
Atoms (fractional coordinates):
Ag: 0.000 0.000 0.000
Bi: 0.196 0.704 0.240
Bi: 0.268 0.268 0.205
Bi: 0.296 0.804 0.760
Bi: 0.365 0.365 0.753
Bi: 0.635 0.635 0.247
Bi: 0.704 0.196 0.240
Bi: 0.732 0.732 0.795
Bi: 0.804 0.296 0.760
Au: 0.117 0.117 0.480
Au: 0.883 0.883 0.520

***

3.
Below is crystalline Ag8BiAu6 at its relaxed geometry, with properties calculated at the PBE level.

The value obtained for the energy is -0.220 Ry per atom. The magnetic moment is 0.00 μB per cell. The space group is R-3.

abc: 7.249 7.249 7.249
angles: 66.74 66.74 66.74
Atoms (fractional coordinates):
Ag: 0.062 0.365 0.690
Ag: 0.249 0.249 0.249
Ag: 0.310 0.938 0.635
Ag: 0.365 0.690 0.062
Ag: 0.635 0.310 0.938
Ag: 0.690 0.062 0.365
Ag: 0.751 0.751 0.751
Ag: 0.938 0.635 0.310
Bi: 0.500 0.500 0.500
Au: 0.120 0.835 0.419
Au: 0.165 0.581 0.880
Au: 0.419 0.120 0.835
Au: 0.581 0.880 0.165
Au: 0.835 0.419 0.120
Au: 0.880 0.165 0.581

***

4.
Below is crystalline AgBiAu2 at its relaxed geometry, with properties calculated at the PBE level.

The value obtained for the energy is -0.242 Ry per atom. The magnetic moment is 0.00 μB per cell. The space group is P4/mmm.

abc: 3.645 3.645 6.343
angles: 90.00 90.00 90.00
Atoms (fractional coordinates):
Ag: 0.000 0.000 0.000
Bi: 0.000 0.000 0.500
Au: 0.500 0.500 0.227
Au: 0.500 0.500 0.773

***

5.
Below is crystalline Ag8BiAu2 at its relaxed geometry, with properties calculated at the PBE level.

The value obtained for the energy is -0.216 Ry per atom. The magnetic moment is 0.00 μB per cell. The space group is C2/m.

abc: 7.516 7.516 5.712
angles: 103.39 103.39 44.59
Atoms (fractional coordinates):
Ag: 0.078 0.078 0.207
Ag: 0.149 0.661 0.338
Ag: 0.250 0.250 0.019
Ag: 0.339 0.851 0.662
Ag: 0.661 0.149 0.338
Ag: 0.750 0.750 0.981
Ag: 0.851 0.339 0.662
Ag: 0.922 0.922 0.793
Bi: 0.500 0.500 0.000
Au: 0.267 0.267 0.541
Au: 0.733 0.733 0.459

***

6.
Below is crystalline Ag3BiAu at its relaxed geometry, with properties calculated at the PBE level.

The energy above the most stable polymorph in this dataset comes out at 0.365 eV/atom. The magnetic moment is 0.00 μB per cell. The space group is Pm-3m.

abc: 5.127 5.127 5.127
angles: 90.00 90.00 90.00
Atoms (fractional coordinates):
Ag: 0.000 0.000 0.500
Ag: 0.000 0.500 0.000
Ag: 0.500 0.000 0.000
Bi: 0.500 0.500 0.500
Au: 0.000 0.000 0.000